A relaxed structure of NpZnFe2H8. Source: the Alexandria database, functional GGA-PBE.

Properties
Volume ... 105 Å³ per cell
Size of the total moment ... 0.0370 μB/atom
Symmetry ... No. 164
Uncorrected energy ... -56.3 eV/cell

a b c (Å): 4.4567 4.4567 6.1197
angles (deg): 90.00 90.00 120.00
Last column: nearest neighbours and their distance in Å.
Atoms (fractional coordinates):
1 Np 0.0000 0.0000 0.0000  6 H 2.26
2 Zn 0.0000 0.0000 0.5000  6 H 1.81
3 Fe 0.3333 0.6667 0.1204  4 H 1.57-1.66
4 Fe 0.6667 0.3333 0.8796  4 H 1.57-1.66
5 H 0.1716 0.3433 0.2994  1 Fe 1.66, 1 Zn 1.81
6 H 0.1716 0.8284 0.2994  1 Fe 1.66, 1 Zn 1.81
7 H 0.3333 0.6667 0.8636  1 Fe 1.57
8 H 0.3433 0.1716 0.7006  1 Fe 1.66, 1 Zn 1.81
9 H 0.6567 0.8284 0.2994  1 Fe 1.66, 1 Zn 1.81
10 H 0.6667 0.3333 0.1364  1 Fe 1.57
11 H 0.8284 0.1716 0.7006  1 Fe 1.66, 1 Zn 1.81
12 H 0.8284 0.6567 0.7006  1 Fe 1.66, 1 Zn 1.81